[1]
## CsCdO (PBE)

Data for a relaxed structure of CsCdO.

The structure in CIF format:
```
data_CsCdO
_chemical_formula_sum 'Cs4 Cd4 O4'
_cell_length_a 7.0870
_cell_length_b 8.0475
_cell_length_c 9.1624
_cell_angle_alpha 85.69
_cell_angle_beta 67.30
_cell_angle_gamma 63.93
_symmetry_space_group_name_H-M 'P -1'
_symmetry_Int_Tables_number 2
_symmetry_space_group_name_Hall '-P 1'
loop_
_atom_site_label
_atom_site_type_symbol
_atom_site_fract_x
_atom_site_fract_y
_atom_site_fract_z
_atom_site_occupancy
Cs1 Cs 0.1504 0.4368 0.2625 1
Cs2 Cs 0.1505 0.9368 0.7625 1
Cd1 Cd 0.4999 0.1347 0.8666 1
Cd2 Cd 0.5004 0.3653 0.6334 1
O1 O 0.2820 0.0002 0.9999 1
O2 O 0.2823 0.5004 0.5003 1
```

Results
Distance to the lowest polymorph of the same formula: 0 meV/atom
Density: 4.03 g cm⁻³
Formation energy without anion corrections: -0.90 eV/atom
DFT total energy: -37.69 eV/cell

***

[2]
## Cs3Cd2O (PBE)

Data for a relaxed structure of Cs3Cd2O.

The structure in CIF format:
```
data_Cs3Cd2O
_chemical_formula_sum 'Cs6 Cd4 O2'
_cell_length_a 9.5350
_cell_length_b 9.5350
_cell_length_c 7.6318
_cell_angle_alpha 90.00
_cell_angle_beta 90.00
_cell_angle_gamma 120.00
_symmetry_space_group_name_H-M 'P 63/m m c'
_symmetry_Int_Tables_number 194
_symmetry_space_group_name_Hall '-P 6c 2c'
loop_
_atom_site_label
_atom_site_type_symbol
_atom_site_fract_x
_atom_site_fract_y
_atom_site_fract_z
_atom_site_occupancy
Cs1 Cs 0.1318 0.2636 0.2500 1
Cd1 Cd 0.3333 0.6667 0.5513 1
O1 O 0.0000 0.0000 0.0000 1
```

Results
Density: 3.53 g cm⁻³
Formation energy without anion corrections: -0.42 eV/atom
DFT total energy: -23.76 eV/cell

***

[3]
## Cs6CdO4 (PBE)

Data for a relaxed structure of Cs6CdO4.

The structure in CIF format:
```
data_Cs6CdO4
_chemical_formula_sum 'Cs12 Cd2 O8'
_cell_length_a 10.0362
_cell_length_b 10.0362
_cell_length_c 7.1737
_cell_angle_alpha 90.00
_cell_angle_beta 90.00
_cell_angle_gamma 120.00
_symmetry_space_group_name_H-M 'P 63 m c'
_symmetry_Int_Tables_number 186
_symmetry_space_group_name_Hall 'P 6c -2c'
loop_
_atom_site_label
_atom_site_type_symbol
_atom_site_fract_x
_atom_site_fract_y
_atom_site_fract_z
_atom_site_occupancy
Cs1 Cs 0.0862 0.5431 0.0000 1
Cs2 Cs 0.1452 0.2904 0.3621 1
Cd1 Cd 0.3333 0.6667 0.6029 1
O1 O 0.2065 0.4130 0.7168 1
O2 O 0.3333 0.6667 0.2925 1
```

Results
Density: 5.17 g cm⁻³
Formation energy without anion corrections: -0.99 eV/atom
DFT total energy: -73.46 eV/cell